{
  "formula": "Ag2Sn",
  "functional": "GGA-PBE",
  "state": "optimized geometry",
  "spacegroup": "No. 139",
  "e_form_mev_per_atom": 29,
  "magnetic_moment_mub_per_fu": 0.00,
  "crystal_system": "tetragonal",
  "lattice_angstrom": [[3.725, 0.000, 0.000], [0.000, 3.725, 0.000], [-1.863, -1.863, 4.428]],
  "species": ["Ag", "Ag", "Sn"],
  "frac_coords": [[0.669, 0.669, 0.339], [0.331, 0.331, 0.661], [0.000, 0.000, 0.000]]
}

{
  "formula": "SrGaI3",
  "functional": "GGA-PBE",
  "state": "optimized geometry",
  "spacegroup": "No. 221",
  "final_energy_ev_per_atom": -2.789,
  "magnetic_moment_mub_per_fu": 0.00,
  "crystal_system": "cubic",
  "lattice_angstrom": [[-5.795, -0.162, 2.696], [0.815, -6.189, 1.381], [2.575, 1.596, 5.630]],
  "species": ["Sr", "I", "I", "I", "Ga"],
  "frac_coords": [[0.000, 0.000, 0.000], [0.500, 0.000, 0.000], [0.000, 0.500, 0.000], [0.000, 0.000, 0.500], [0.500, 0.500, 0.500]]
}

{
  "formula": "Mg2MnTl",
  "functional": "GGA-PBE",
  "state": "optimized geometry",
  "spacegroup": "No. 65",
  "e_form_mev_per_atom": 196,
  "magnetic_moment_mub_per_fu": 3.54,
  "crystal_system": "orthorhombic",
  "lattice_angstrom": [[-2.429, 3.314, -3.155], [-3.070, -0.773, 4.101], [1.417, 2.496, 1.531]],
  "species": ["Mg", "Mg", "Tl", "Mn"],
  "frac_coords": [[0.000, 0.000, 0.000], [0.500, 0.500, 0.000], [0.000, 0.500, 0.500], [0.500, 0.000, 0.500]]
}

{
  "formula": "La2Sc3Ge4",
  "functional": "GGA-PBE",
  "state": "optimized geometry",
  "spacegroup": "No. 14",
  "e_form_mev_per_atom": -889,
  "magnetic_moment_mub_per_fu": 0.00,
  "crystal_system": "monoclinic",
  "lattice_angstrom": [[-3.118, 4.519, -5.048], [-0.877, -7.238, -2.246], [-6.679, -0.368, 3.795]],
  "species": ["Ge", "Ge", "Sc", "Ge", "La", "Sc", "Sc", "Sc", "Ge", "Ge", "Sc", "Ge", "La", "Ge", "Sc", "La", "Ge", "La"],
  "frac_coords": [[0.635, 0.915, 0.043], [0.361, 0.498, 0.366], [0.253, 0.254, 0.667], [0.365, 0.085, 0.957], [0.433, 0.808, 0.671], [0.247, 0.746, 0.167], [0.000, 0.500, 0.500], [0.747, 0.746, 0.333], [0.861, 0.498, 0.134], [0.139, 0.502, 0.866], [0.753, 0.254, 0.833], [0.865, 0.085, 0.543], [0.933, 0.808, 0.829], [0.639, 0.502, 0.634], [0.500, 0.500, 0.000], [0.067, 0.192, 0.171], [0.135, 0.915, 0.457], [0.567, 0.192, 0.329]]
}